A:
A geometry-optimized Rb3PtBr6 structure. Source: the Alexandria database, functional PBE.

Geometry as POSCAR:
```
Rb3PtBr6
1.0
-0.672 -9.026 -2.376
8.457 -1.664 3.642
-3.875 -1.968 8.287
Br Pt Rb
12 2 6
direct
0.092 0.253 0.930
0.253 0.930 0.092
0.447 0.231 0.547
0.930 0.092 0.253
0.769 0.453 0.553
0.231 0.547 0.447
0.908 0.747 0.070
0.547 0.447 0.231
0.070 0.908 0.747
0.553 0.769 0.453
0.453 0.553 0.769
0.747 0.070 0.908
0.000 0.000 0.000
0.500 0.500 0.500
0.236 0.561 0.076
0.764 0.439 0.924
0.561 0.076 0.236
0.439 0.924 0.764
0.076 0.236 0.561
0.924 0.764 0.439
```

Values from the calculation:
D(E_F), states/eV/cell: 12.8
Density, kg/m3: 3774

B:
A geometry-optimized Rb3PtBr6 structure. Source: the Alexandria database, functional PBE.

Geometry as POSCAR:
```
Rb3PtBr6
1.0
8.068 0.000 0.000
0.000 8.068 0.000
4.034 4.034 6.030
Br Pt Rb
6 1 3
direct
0.218 0.218 0.000
0.218 0.782 0.000
0.782 0.782 0.000
0.782 0.218 0.000
0.769 0.769 0.462
0.231 0.231 0.538
0.000 0.000 0.000
0.750 0.250 0.500
0.500 0.500 0.000
0.250 0.750 0.500
```

Values from the calculation:
D(E_F), states/eV/cell: 0.0
Density, kg/m3: 3938

It turns out A is the most stable, with the second structure 17 meV per atom higher.

A:
A geometry-optimized RbPtSe2Br structure. Source: the Alexandria database, functional PBE.

Geometry as POSCAR:
```
RbPtSe2Br
1.0
-4.430 -0.675 2.296
-1.596 -2.767 -3.892
1.986 -4.624 2.472
Pt Rb Se Br
1 1 2 1
direct
0.000 0.000 0.000
0.500 0.500 0.500
0.500 0.000 0.000
0.000 0.500 0.000
0.000 0.000 0.500
```

Values from the calculation:
D(E_F), states/eV/cell: 4.9
Density, kg/m3: 6056

B:
A geometry-optimized RbPtSe2Br structure. Source: the Alexandria database, functional PBE.

Geometry as POSCAR:
```
RbPtSe2Br
1.0
6.267 0.000 0.000
0.000 6.267 0.000
0.000 0.000 6.149
Se Pt Br Rb
2 1 1 1
direct
0.500 0.000 0.000
0.000 0.500 0.000
0.500 0.500 0.500
0.000 0.000 0.500
0.000 0.000 0.000
```

Values from the calculation:
D(E_F), states/eV/cell: 8.2
Density, kg/m3: 3565

It turns out A is the most stable, with the second structure 1728 meV per atom higher.

A:
A geometry-optimized RePtBr2 structure. Source: the Alexandria database, functional PBE.

Geometry as POSCAR:
```
RePtBr2
1.0
4.513 0.000 0.000
0.000 3.004 0.012
0.000 -0.496 5.416
Br Re Pt
2 1 1
direct
0.000 0.558 0.505
0.000 0.942 0.995
0.500 0.750 0.750
0.500 0.250 0.250
```

Values from the calculation:
D(E_F), states/eV/cell: 3.2
Density, kg/m3: 12232

B:
A geometry-optimized RePtBr2 structure. Source: the Alexandria database, functional PBE.

Geometry as POSCAR:
```
RePtBr2
1.0
-2.583 1.444 -0.795
-0.066 -2.056 -3.519
-4.135 -6.552 1.539
Br Pt Re
2 1 1
direct
0.000 0.846 0.932
0.500 0.146 0.333
0.000 0.529 0.567
0.500 0.979 0.668
```

Values from the calculation:
D(E_F), states/eV/cell: 3.1
Density, kg/m3: 9428

It turns out B is the most stable, with the second structure 729 meV per atom higher.

A:
A geometry-optimized RePtBr2 structure. Source: the Alexandria database, functional PBE.

Geometry as POSCAR:
```
RePtBr2
1.0
-1.673 -7.383 -0.924
-0.722 -6.650 -3.662
3.877 -2.394 0.706
Pt Br Re
1 2 1
direct
0.750 0.750 0.750
0.898 0.898 0.103
0.602 0.602 0.397
0.250 0.250 0.250
```

Values from the calculation:
D(E_F), states/eV/cell: 3.9
Density, kg/m3: 9155

B:
A geometry-optimized RePtBr2 structure. Source: the Alexandria database, functional PBE.

Geometry as POSCAR:
```
RePtBr2
1.0
-3.665 -0.255 -3.172
1.473 -3.585 -2.921
-0.316 -0.123 4.841
Re Br Pt
1 2 1
direct
0.750 0.250 0.500
0.000 0.000 0.000
0.500 0.500 0.000
0.250 0.750 0.500
```

Values from the calculation:
D(E_F), states/eV/cell: 3.2
Density, kg/m3: 12715

It turns out A is the most stable, with the second structure 822 meV per atom higher.

A:
A geometry-optimized RePtBr2 structure. Source: the Alexandria database, functional PBE.

Geometry as POSCAR:
```
RePtBr2
1.0
1.665 0.000 11.768
-0.833 1.442 11.768
-0.833 -1.442 11.768
Br Pt Re
2 1 1
direct
0.068 0.068 0.068
0.932 0.932 0.932
0.500 0.500 0.500
0.000 0.000 0.000
```

Values from the calculation:
D(E_F), states/eV/cell: 4.6
Density, kg/m3: 10596

B:
A geometry-optimized RePtBr2 structure. Source: the Alexandria database, functional PBE.

Geometry as POSCAR:
```
RePtBr2
1.0
-2.218 -2.964 -4.056
-3.054 -0.622 4.521
-2.967 1.078 -0.583
Pt Br Re
1 2 1
direct
0.500 0.000 0.500
0.500 0.500 0.000
0.000 0.000 0.000
0.000 0.500 0.500
```

Values from the calculation:
D(E_F), states/eV/cell: 3.4
Density, kg/m3: 11840

It turns out A is the most stable, with the second structure 291 meV per atom higher.

A:
A geometry-optimized RePtBr2 structure. Source: the Alexandria database, functional PBE.

Geometry as POSCAR:
```
RePtBr2
1.0
-0.009 -0.033 4.553
-4.311 -1.467 -0.019
1.107 -3.253 -0.021
Br Re Pt
2 1 1
direct
0.000 0.000 0.000
0.500 0.500 0.000
0.000 0.500 0.500
0.500 0.000 0.500
```

Values from the calculation:
D(E_F), states/eV/cell: 5.3
Density, kg/m3: 12612

B:
A geometry-optimized RePtBr2 structure. Source: the Alexandria database, functional PBE.

Geometry as POSCAR:
```
RePtBr2
1.0
-0.612 0.420 -3.004
-1.451 -2.731 -0.087
-7.497 3.918 2.075
Pt Br Re
1 2 1
direct
0.000 0.000 0.539
0.500 0.500 0.320
0.000 0.000 0.920
0.500 0.500 0.721
```

Values from the calculation:
D(E_F), states/eV/cell: 3.0
Density, kg/m3: 10774

C:
A geometry-optimized RePtBr2 structure. Source: the Alexandria database, functional PBE.

Geometry as POSCAR:
```
RePtBr2
1.0
-0.922 -0.002 -2.992
-1.631 -1.338 2.314
-4.593 8.037 1.409
Br Pt Re
2 1 1
direct
0.000 0.000 0.974
0.000 0.000 0.526
0.500 0.500 0.250
0.500 0.500 0.750
```

Values from the calculation:
D(E_F), states/eV/cell: 5.0
Density, kg/m3: 11742

It turns out B is the most stable, with the second structure 515 meV per atom higher.

A:
A geometry-optimized Pt3RhBr structure. Source: the Alexandria database, functional PBE.

Geometry as POSCAR:
```
Pt3RhBr
1.0
-0.311 -4.223 -1.979
4.600 -0.605 0.568
-0.770 -1.910 4.196
Pt Rh Br
3 1 1
direct
0.000 0.000 0.500
0.500 0.000 0.000
0.000 0.500 0.000
0.500 0.500 0.500
0.000 0.000 0.000
```

Values from the calculation:
D(E_F), states/eV/cell: 7.4
Density, kg/m3: 12489

B:
A geometry-optimized Pt3RhBr structure. Source: the Alexandria database, functional PBE.

Geometry as POSCAR:
```
Pt3RhBr
1.0
-3.475 2.890 -1.804
-0.729 -3.148 -3.639
-3.328 -2.329 2.681
Pt Rh Br
3 1 1
direct
0.500 0.000 0.000
0.000 0.500 0.000
0.000 0.000 0.500
0.000 0.000 0.000
0.500 0.500 0.500
```

Values from the calculation:
D(E_F), states/eV/cell: 7.2
Density, kg/m3: 11067

It turns out B is the most stable, with the second structure 39 meV per atom higher.

A:
A geometry-optimized PtRh3Br structure. Source: the Alexandria database, functional PBE.

Geometry as POSCAR:
```
PtRh3Br
1.0
-2.558 0.704 4.087
-3.563 -2.830 -1.743
2.122 -3.903 2.000
Rh Pt Br
3 1 1
direct
0.000 0.000 0.500
0.500 0.000 0.000
0.000 0.500 0.000
0.000 0.000 0.000
0.500 0.500 0.500
```

Values from the calculation:
D(E_F), states/eV/cell: 11.6
Density, kg/m3: 8378

B:
A geometry-optimized PtRh3Br structure. Source: the Alexandria database, functional PBE.

Geometry as POSCAR:
```
PtRh3Br
1.0
4.542 0.000 0.000
0.000 4.542 0.000
0.000 0.000 4.542
Br Rh Pt
1 3 1
direct
0.000 0.000 0.000
0.000 0.500 0.000
0.500 0.000 0.000
0.000 0.000 0.500
0.500 0.500 0.500
```

Values from the calculation:
D(E_F), states/eV/cell: 9.4
Density, kg/m3: 10341

It turns out B is the most stable, with the second structure 202 meV per atom higher.

A:
A geometry-optimized RuPt2Br structure. Source: the Alexandria database, functional PBE.

Geometry as POSCAR:
```
RuPt2Br
1.0
2.956 0.000 0.000
0.000 2.956 0.000
0.000 0.000 7.910
Br Pt Ru
1 2 1
direct
0.500 0.500 0.708
0.500 0.500 0.271
0.000 0.000 0.039
0.000 0.000 0.482
```

Values from the calculation:
D(E_F), states/eV/cell: 3.2
Density, kg/m3: 13718

B:
A geometry-optimized RuPt2Br structure. Source: the Alexandria database, functional PBE.

Geometry as POSCAR:
```
RuPt2Br
1.0
0.000 3.225 3.225
3.225 0.000 3.225
3.225 3.225 0.000
Ru Pt Br
1 2 1
direct
0.500 0.500 0.500
0.750 0.750 0.750
0.250 0.250 0.250
0.000 0.000 0.000
```

Values from the calculation:
D(E_F), states/eV/cell: 4.8
Density, kg/m3: 14140

It turns out A is the most stable, with the second structure 386 meV per atom higher.

A:
A geometry-optimized RuPt2Br structure. Source: the Alexandria database, functional PBE.

Geometry as POSCAR:
```
RuPt2Br
1.0
-2.313 -4.027 1.638
4.346 -2.186 0.762
0.059 1.018 2.584
Br Ru Pt
1 1 2
direct
0.000 0.500 0.500
0.500 0.000 0.500
0.500 0.500 0.000
0.000 0.000 0.000
```

Values from the calculation:
D(E_F), states/eV/cell: 5.9
Density, kg/m3: 14079

B:
A geometry-optimized RuPt2Br structure. Source: the Alexandria database, functional PBE.

Geometry as POSCAR:
```
RuPt2Br
1.0
-3.169 2.677 -1.863
-0.156 -2.723 -3.639
-0.642 -1.726 4.158
Pt Br Ru
2 1 1
direct
0.000 0.000 0.000
0.250 0.750 0.500
0.750 0.250 0.500
0.500 0.500 0.000
```

Values from the calculation:
D(E_F), states/eV/cell: 4.5
Density, kg/m3: 14255

C:
A geometry-optimized RuPt2Br structure. Source: the Alexandria database, functional PBE.

Geometry as POSCAR:
```
RuPt2Br
1.0
-1.166 -2.776 3.523
1.573 -1.994 3.876
-1.861 4.480 4.510
Ru Br Pt
1 1 2
direct
0.538 0.538 0.586
0.131 0.131 0.268
0.793 0.793 0.724
0.038 0.038 0.922
```

Values from the calculation:
D(E_F), states/eV/cell: 4.9
Density, kg/m3: 11533

It turns out C is the most stable, with the second structure 385 meV per atom higher.

A:
A geometry-optimized RuPt2Br structure. Source: the Alexandria database, functional PBE.

Geometry as POSCAR:
```
RuPt2Br
1.0
5.853 0.012 -0.012
5.165 2.755 -0.012
1.829 0.459 4.214
Br Pt Ru
1 2 1
direct
0.250 0.250 0.250
0.478 0.478 0.522
0.022 0.022 0.978
0.750 0.750 0.750
```

Values from the calculation:
D(E_F), states/eV/cell: 5.6
Density, kg/m3: 13999

B:
A geometry-optimized RuPt2Br structure. Source: the Alexandria database, functional PBE.

Geometry as POSCAR:
```
RuPt2Br
1.0
-0.287 0.387 2.732
-2.746 0.220 -0.320
-0.940 -9.840 1.296
Pt Br Ru
2 1 1
direct
0.000 0.000 0.435
0.000 0.000 0.065
0.500 0.500 0.750
0.500 0.500 0.250
```

Values from the calculation:
D(E_F), states/eV/cell: 5.0
Density, kg/m3: 12366

It turns out B is the most stable, with the second structure 152 meV per atom higher.

A:
A geometry-optimized RuPt2Br structure. Source: the Alexandria database, functional PBE.

Geometry as POSCAR:
```
RuPt2Br
1.0
3.473 0.000 0.000
0.000 2.799 -0.002
0.000 0.006 7.317
Ru Br Pt
1 1 2
direct
0.500 0.250 0.250
0.500 0.750 0.750
0.000 0.750 0.043
0.000 0.750 0.457
```

Values from the calculation:
D(E_F), states/eV/cell: 4.6
Density, kg/m3: 13335

B:
A geometry-optimized RuPt2Br structure. Source: the Alexandria database, functional PBE.

Geometry as POSCAR:
```
RuPt2Br
1.0
5.734 -0.004 0.003
2.991 4.892 -0.003
-3.682 -3.659 2.436
Ru Br Pt
1 1 2
direct
0.503 0.503 0.000
0.288 0.788 0.500
0.728 0.228 0.500
0.980 0.980 0.000
```

Values from the calculation:
D(E_F), states/eV/cell: 4.2
Density, kg/m3: 13882

It turns out A is the most stable, with the second structure 253 meV per atom higher.